# 1
# InAsIr2 | the Alexandria database | PBE | relaxed
data_InAsIr2
_chemical_formula_sum 'In2 As2 Ir4'
_symmetry_space_group_name_H-M 'C m m m'
_symmetry_Int_Tables_number 65
_symmetry_space_group_name_Hall '-C 2 2'
_cell_length_a 6.0552
_cell_length_b 7.1344
_cell_length_c 3.0634
_cell_angle_alpha 90.00
_cell_angle_beta 90.00
_cell_angle_gamma 90.00
loop_
_atom_site_label
_atom_site_type_symbol
_atom_site_fract_x
_atom_site_fract_y
_atom_site_fract_z
_atom_site_occupancy
In1 In 0.0000 0.0000 0.0000 1
As1 As 0.0000 0.5000 0.0000 1
Ir1 Ir 0.2500 0.2500 0.5000 1
# Crystal system = orthorhombic


# 2
# InAs2Ir | the Alexandria database | PBE | relaxed
data_InAs2Ir
_chemical_formula_sum 'In2 As4 Ir2'
_symmetry_space_group_name_H-M 'I m m m'
_symmetry_Int_Tables_number 71
_symmetry_space_group_name_Hall '-I 2 2'
_cell_length_a 3.0005
_cell_length_b 4.7057
_cell_length_c 11.1491
_cell_angle_alpha 90.00
_cell_angle_beta 90.00
_cell_angle_gamma 90.00
loop_
_atom_site_label
_atom_site_type_symbol
_atom_site_fract_x
_atom_site_fract_y
_atom_site_fract_z
_atom_site_occupancy
In1 In 0.0000 0.0000 0.0000 1
As1 As 0.0000 0.5000 0.1927 1
Ir1 Ir 0.0000 0.0000 0.5000 1
# Crystal system = orthorhombic


# 3
# In2AsIr | the Alexandria database | PBE | relaxed
data_In2AsIr
_chemical_formula_sum 'In8 As4 Ir4'
_symmetry_space_group_name_H-M 'F -4 3 m'
_symmetry_Int_Tables_number 216
_symmetry_space_group_name_Hall 'F -4 2 3'
_cell_length_a 6.7853
_cell_length_b 6.7853
_cell_length_c 6.7853
_cell_angle_alpha 90.00
_cell_angle_beta 90.00
_cell_angle_gamma 90.00
loop_
_atom_site_label
_atom_site_type_symbol
_atom_site_fract_x
_atom_site_fract_y
_atom_site_fract_z
_atom_site_occupancy
In1 In 0.0000 0.0000 0.0000 1
In2 In 0.2500 0.2500 0.2500 1
As1 As 0.0000 0.0000 0.5000 1
Ir1 Ir 0.2500 0.2500 0.7500 1
# Crystal system = cubic


# 4
# InAsIr2 | the Alexandria database | PBE | relaxed
data_InAsIr2
_chemical_formula_sum 'In2 As2 Ir4'
_symmetry_space_group_name_H-M 'I -4 m 2'
_symmetry_Int_Tables_number 119
_symmetry_space_group_name_Hall 'I -4 -2'
_cell_length_a 3.8326
_cell_length_b 3.8326
_cell_length_c 9.1110
_cell_angle_alpha 90.00
_cell_angle_beta 90.00
_cell_angle_gamma 90.00
loop_
_atom_site_label
_atom_site_type_symbol
_atom_site_fract_x
_atom_site_fract_y
_atom_site_fract_z
_atom_site_occupancy
In1 In 0.0000 0.0000 0.0000 1
As1 As 0.0000 0.5000 0.2500 1
Ir1 Ir 0.0000 0.0000 0.5000 1
Ir2 Ir 0.0000 0.5000 0.7500 1
# Crystal system = tetragonal


# 5
# In2AsIr2 | the Alexandria database | PBE | relaxed
data_In2AsIr2
_chemical_formula_sum 'In4 As2 Ir4'
_symmetry_space_group_name_H-M 'P 4/m b m'
_symmetry_Int_Tables_number 127
_symmetry_space_group_name_Hall '-P 4 2ab'
_cell_length_a 7.7126
_cell_length_b 7.7126
_cell_length_c 3.1124
_cell_angle_alpha 90.00
_cell_angle_beta 90.00
_cell_angle_gamma 90.00
loop_
_atom_site_label
_atom_site_type_symbol
_atom_site_fract_x
_atom_site_fract_y
_atom_site_fract_z
_atom_site_occupancy
In1 In 0.1523 0.3477 0.0000 1
As1 As 0.0000 0.0000 0.5000 1
Ir1 Ir 0.1465 0.6465 0.5000 1
# Crystal system = tetragonal


# 6
# In2AsIr | the Alexandria database | PBE | relaxed
data_In2AsIr
_chemical_formula_sum 'In8 As4 Ir4'
_symmetry_space_group_name_H-M 'I -4 2 d'
_symmetry_Int_Tables_number 122
_symmetry_space_group_name_Hall 'I -4 2bw'
_cell_length_a 6.1277
_cell_length_b 6.1277
_cell_length_c 12.3123
_cell_angle_alpha 90.00
_cell_angle_beta 90.00
_cell_angle_gamma 90.00
loop_
_atom_site_label
_atom_site_type_symbol
_atom_site_fract_x
_atom_site_fract_y
_atom_site_fract_z
_atom_site_occupancy
In1 In 0.2405 0.2500 0.1250 1
As1 As 0.0000 0.0000 0.5000 1
Ir1 Ir 0.0000 0.0000 0.0000 1
# Crystal system = tetragonal


# 7
# In2AsIr | the Alexandria database | PBE | relaxed
data_In2AsIr
_chemical_formula_sum 'In4 As2 Ir2'
_symmetry_space_group_name_H-M 'C 1 m 1'
_symmetry_Int_Tables_number 8
_symmetry_space_group_name_Hall 'C -2y'
_cell_length_a 9.9416
_cell_length_b 3.0764
_cell_length_c 6.3021
_cell_angle_alpha 90.00
_cell_angle_beta 113.88
_cell_angle_gamma 90.00
loop_
_atom_site_label
_atom_site_type_symbol
_atom_site_fract_x
_atom_site_fract_y
_atom_site_fract_z
_atom_site_occupancy
In1 In 0.0000 0.0000 0.0000 1
In2 In 0.1595 0.0000 0.6049 1
As1 As 0.3422 0.0000 0.3541 1
Ir1 Ir 0.2337 0.5000 0.0146 1
# Crystal system = monoclinic


# 8
# InAs2Ir | the Alexandria database | PBE | relaxed
data_InAs2Ir
_chemical_formula_sum 'In2 As4 Ir2'
_symmetry_space_group_name_H-M 'C 1 2/m 1'
_symmetry_Int_Tables_number 12
_symmetry_space_group_name_Hall '-C 2y'
_cell_length_a 6.7212
_cell_length_b 3.8077
_cell_length_c 6.9541
_cell_angle_alpha 90.00
_cell_angle_beta 108.65
_cell_angle_gamma 90.00
loop_
_atom_site_label
_atom_site_type_symbol
_atom_site_fract_x
_atom_site_fract_y
_atom_site_fract_z
_atom_site_occupancy
In1 In 0.0000 0.0000 0.0000 1
As1 As 0.2301 0.0000 0.6840 1
Ir1 Ir 0.0000 0.5000 0.5000 1
# Crystal system = monoclinic


# 9
# InAsIr2 | the Alexandria database | PBE | relaxed
data_InAsIr2
_chemical_formula_sum 'In1 As1 Ir2'
_symmetry_space_group_name_H-M 'P m m m'
_symmetry_Int_Tables_number 47
_symmetry_space_group_name_Hall '-P 2 2'
_cell_length_a 3.0607
_cell_length_b 3.5314
_cell_length_c 6.0941
_cell_angle_alpha 90.00
_cell_angle_beta 90.00
_cell_angle_gamma 90.00
loop_
_atom_site_label
_atom_site_type_symbol
_atom_site_fract_x
_atom_site_fract_y
_atom_site_fract_z
_atom_site_occupancy
In1 In 0.0000 0.0000 0.0000 1
As1 As 0.0000 0.0000 0.5000 1
Ir1 Ir 0.5000 0.5000 0.2637 1
# Crystal system = orthorhombic


# 10
# In2AsIr | the Alexandria database | PBE | relaxed
data_In2AsIr
_chemical_formula_sum 'In2 As1 Ir1'
_symmetry_space_group_name_H-M 'P m m m'
_symmetry_Int_Tables_number 47
_symmetry_space_group_name_Hall '-P 2 2'
_cell_length_a 3.0450
_cell_length_b 3.1852
_cell_length_c 8.4109
_cell_angle_alpha 90.00
_cell_angle_beta 90.00
_cell_angle_gamma 90.00
loop_
_atom_site_label
_atom_site_type_symbol
_atom_site_fract_x
_atom_site_fract_y
_atom_site_fract_z
_atom_site_occupancy
In1 In 0.0000 0.0000 0.2089 1
As1 As 0.0000 0.5000 0.5000 1
Ir1 Ir 0.5000 0.5000 0.0000 1
# Crystal system = orthorhombic


# 11
# InAs2Ir | the Alexandria database | PBE | relaxed
data_InAs2Ir
_chemical_formula_sum 'In1 As2 Ir1'
_symmetry_space_group_name_H-M 'P 4/m m m'
_symmetry_Int_Tables_number 123
_symmetry_space_group_name_Hall '-P 4 2'
_cell_length_a 3.9713
_cell_length_b 3.9713
_cell_length_c 4.7296
_cell_angle_alpha 90.00
_cell_angle_beta 90.00
_cell_angle_gamma 90.00
loop_
_atom_site_label
_atom_site_type_symbol
_atom_site_fract_x
_atom_site_fract_y
_atom_site_fract_z
_atom_site_occupancy
In1 In 0.0000 0.0000 0.0000 1
As1 As 0.0000 0.5000 0.5000 1
Ir1 Ir 0.5000 0.5000 0.0000 1
# Crystal system = tetragonal


# 12
# InAsIr2 | the Alexandria database | PBE | relaxed
data_InAsIr2
_chemical_formula_sum 'In2 As2 Ir4'
_symmetry_space_group_name_H-M 'C 1 2/m 1'
_symmetry_Int_Tables_number 12
_symmetry_space_group_name_Hall '-C 2y'
_cell_length_a 8.5143
_cell_length_b 3.0317
_cell_length_c 5.3076
_cell_angle_alpha 90.00
_cell_angle_beta 102.17
_cell_angle_gamma 90.00
loop_
_atom_site_label
_atom_site_type_symbol
_atom_site_fract_x
_atom_site_fract_y
_atom_site_fract_z
_atom_site_occupancy
In1 In 0.0000 0.0000 0.0000 1
As1 As 0.0000 0.5000 0.5000 1
Ir1 Ir 0.2474 0.0000 0.7255 1
# Crystal system = monoclinic


# 13
# InAs2Ir | the Alexandria database | PBE | relaxed
data_InAs2Ir
_chemical_formula_sum 'In2 As4 Ir2'
_symmetry_space_group_name_H-M 'I m m 2'
_symmetry_Int_Tables_number 44
_symmetry_space_group_name_Hall 'I 2 -2'
_cell_length_a 3.2124
_cell_length_b 3.8951
_cell_length_c 13.2864
_cell_angle_alpha 90.00
_cell_angle_beta 90.00
_cell_angle_gamma 90.00
loop_
_atom_site_label
_atom_site_type_symbol
_atom_site_fract_x
_atom_site_fract_y
_atom_site_fract_z
_atom_site_occupancy
In1 In 0.0000 0.0000 0.0000 1
As1 As 0.0000 0.0000 0.3712 1
As2 As 0.0000 0.5000 0.1708 1
Ir1 Ir 0.0000 0.5000 0.7286 1
# Crystal system = orthorhombic


# 14
# In2AsIr | the Alexandria database | PBE | relaxed
data_In2AsIr
_chemical_formula_sum 'In4 As2 Ir2'
_symmetry_space_group_name_H-M 'C m m m'
_symmetry_Int_Tables_number 65
_symmetry_space_group_name_Hall '-C 2 2'
_cell_length_a 6.2635
_cell_length_b 7.9876
_cell_length_c 3.0686
_cell_angle_alpha 90.00
_cell_angle_beta 90.00
_cell_angle_gamma 90.00
loop_
_atom_site_label
_atom_site_type_symbol
_atom_site_fract_x
_atom_site_fract_y
_atom_site_fract_z
_atom_site_occupancy
In1 In 0.2500 0.2500 0.0000 1
As1 As 0.0000 0.0000 0.5000 1
Ir1 Ir 0.0000 0.5000 0.5000 1
# Crystal system = orthorhombic


# 15
# InAsIr2 | the Alexandria database | PBE | relaxed
data_InAsIr2
_chemical_formula_sum 'In4 As4 Ir8'
_symmetry_space_group_name_H-M 'I -4 2 d'
_symmetry_Int_Tables_number 122
_symmetry_space_group_name_Hall 'I -4 2bw'
_cell_length_a 5.9584
_cell_length_b 5.9584
_cell_length_c 10.6716
_cell_angle_alpha 90.00
_cell_angle_beta 90.00
_cell_angle_gamma 90.00
loop_
_atom_site_label
_atom_site_type_symbol
_atom_site_fract_x
_atom_site_fract_y
_atom_site_fract_z
_atom_site_occupancy
In1 In 0.0000 0.0000 0.0000 1
As1 As 0.0000 0.0000 0.5000 1
Ir1 Ir 0.2072 0.2500 0.6250 1
# Crystal system = tetragonal


| no. | calculated formation energy (meV/atom) | magnetization (μB/cell) |
| --- | --- | --- |
| 1 | 146 | 0.0 |
| 2 | 37 | 0.0 |
| 3 | 327 | 0.0 |
| 4 | 278 | 0.0 |
| 5 | 88 | 0.0 |
| 6 | 395 | 0.0 |
| 7 | -92 | 0.0 |
| 8 | -70 | 0.0 |
| 9 | 102 | 0.0 |
| 10 | 38 | 0.0 |
| 11 | 330 | 0.0 |
| 12 | 116 | 0.0 |
| 13 | 113 | 0.0 |
| 14 | 198 | 0.0 |
| 15 | 390 | 0.0 |